DFT (GGA-PBE) results for a geometry-optimized CaSm12Y5 structure.

## Properties
Symmetry = No. 10
ΔE_f = 0.58 eV/f.u.
E = -90.4 eV per cell

Lattice parameters (Å, degrees): 10.8669 5.1318 10.8805 90.00 90.18 90.00
Fractional positions:
Ca  0.0000  0.0000  0.0000
Sm  0.9996  0.0000  0.3376
Sm  0.0004  0.0000  0.6624
Sm  0.1667  0.5000  0.5001
Sm  0.1720  0.5000  0.1721
Sm  0.3331  0.0000  0.3330
Sm  0.3377  0.0000  0.9997
Sm  0.5002  0.5000  0.1666
Sm  0.4998  0.5000  0.8334
Sm  0.6623  0.0000  0.0003
Sm  0.6669  0.0000  0.6670
Sm  0.8280  0.5000  0.8279
Sm  0.8333  0.5000  0.4999
Y  0.1715  0.5000  0.8284
Y  0.3337  0.0000  0.6663
Y  0.5000  0.5000  0.5000
Y  0.6663  0.0000  0.3337
Y  0.8285  0.5000  0.1716

---

DFT (GGA-PBE) results for a geometry-optimized ThPd6Pt23 structure.

## Properties
Symmetry = No. 139
ΔE_f = -4.01 eV/f.u.
E = -181.5 eV per cell

Lattice parameters (Å, degrees): 9.6292 9.6292 9.6292 130.99 130.99 71.82
Fractional positions:
Th  0.0000  0.0000  0.0000
Pd  0.2452  0.2452  0.0000
Pd  0.2535  0.2535  0.5070
Pd  0.2535  0.7465  0.0000
Pd  0.7465  0.2535  0.0000
Pd  0.7465  0.7465  0.4930
Pd  0.7548  0.7548  0.0000
Pt  0.0000  0.0000  0.5000
Pt  0.0000  0.5000  0.0000
Pt  0.0000  0.5000  0.5000
Pt  0.1228  0.3710  0.7518
Pt  0.1318  0.3994  0.2676
Pt  0.1318  0.8643  0.7324
Pt  0.1357  0.8682  0.2676
Pt  0.3710  0.1228  0.7518
Pt  0.3710  0.6192  0.2482
Pt  0.3808  0.6290  0.7518
Pt  0.3994  0.1318  0.2676
Pt  0.5000  0.0000  0.0000
Pt  0.5000  0.0000  0.5000
Pt  0.5000  0.5000  0.0000
Pt  0.5000  0.5000  0.5000
Pt  0.6006  0.8682  0.7324
Pt  0.6192  0.3710  0.2482
Pt  0.6290  0.3808  0.7518
Pt  0.6290  0.8772  0.2482
Pt  0.8643  0.1318  0.7324
Pt  0.8682  0.1357  0.2676
Pt  0.8682  0.6006  0.7324
Pt  0.8772  0.6290  0.2482

---

DFT (GGA-PBE) results for a geometry-optimized BaZrTe2 structure.

## Properties
Symmetry = No. 71
Distance to the lowest polymorph of the same formula = 264 meV/atom
Formation energy from raw total energies = -0.827 eV/atom
E = -40.1 eV per cell

Lattice parameters (Å, degrees): 4.3984 6.8051 9.2876 90.00 90.00 90.00
Fractional positions:
Ba  0.0000  0.0000  0.0000
Ba  0.5000  0.5000  0.5000
Zr  0.0000  0.0000  0.5000
Zr  0.5000  0.5000  0.0000
Te  0.0000  0.5000  0.2055
Te  0.0000  0.5000  0.7945
Te  0.5000  0.0000  0.2945
Te  0.5000  0.0000  0.7055

---

DFT (GGA-PBE) results for a geometry-optimized LiCu2Ir structure.

## Properties
Symmetry = No. 65
Distance to the lowest polymorph of the same formula = 194 meV/atom
ΔE_f = 0.41 eV/f.u.
E = -37.1 eV per cell

Lattice parameters (Å, degrees): 2.7252 4.4601 8.8527 90.00 90.00 90.00
Fractional positions:
Li  0.0000  0.0000  0.0000
Li  0.5000  0.5000  0.0000
Cu  0.0000  0.5000  0.2459
Cu  0.0000  0.5000  0.7541
Cu  0.5000  0.0000  0.2459
Cu  0.5000  0.0000  0.7541
Ir  0.0000  0.0000  0.5000
Ir  0.5000  0.5000  0.5000

---

DFT (GGA-PBE) results for a geometry-optimized SrCa2InCo structure.

## Properties
Symmetry = No. 123
ΔE_f = -0.13 eV/f.u.
E = -15.7 eV per cell

Lattice parameters (Å, degrees): 5.3831 5.3831 5.1944 90.00 90.00 90.00
Fractional positions:
Sr  0.0000  0.0000  0.0000
Ca  0.0000  0.5000  0.5000
Ca  0.5000  0.0000  0.5000
In  0.5000  0.5000  0.0000
Co  0.5000  0.5000  0.5000

---

DFT (GGA-PBE) results for a geometry-optimized ZnSb structure.

## Properties
Symmetry = No. 19
Formation energy from raw total energies = 0.081 eV/atom
E = -41.9 eV per cell

Lattice parameters (Å, degrees): 6.3467 8.3654 8.7920 90.00 90.00 90.00
Fractional positions:
Zn  0.0041  0.0988  0.4602
Zn  0.2304  0.1443  0.8783
Zn  0.2696  0.8557  0.3783
Zn  0.4959  0.9012  0.9602
Zn  0.5041  0.4012  0.5398
Zn  0.7304  0.3557  0.1217
Zn  0.7696  0.6443  0.6217
Zn  0.9959  0.5988  0.0398
Sb  0.1152  0.8971  0.1000
Sb  0.1838  0.6057  0.5510
Sb  0.3162  0.3943  0.0510
Sb  0.3848  0.1029  0.6000
Sb  0.6152  0.6029  0.9000
Sb  0.6838  0.8943  0.4490
Sb  0.8162  0.1057  0.9490
Sb  0.8848  0.3971  0.4000